Record 1
Here is crystalline RbAgBiTe2 at its relaxed geometry from Alexandria via LeMat-Bulk. Energies are from PBE.

Raw total energy ... -3.105 eV per atom
Total magnetization ... 0.00 μB/cell
ΔE_f (raw) ... -0.308 eV/atom

Cell lengths 6.731, 6.600, 8.785 Å; angles 112.06, 90.00, 90.00 degrees
Fractional positions:
1 Rb 0.259 0.750 0.500
2 Rb 0.741 0.250 0.500
3 Ag 0.000 0.000 0.000
4 Ag 0.000 0.500 0.000
5 Bi 0.500 0.750 0.000
6 Bi 0.500 0.250 0.000
7 Te 0.764 0.866 0.731
8 Te 0.764 0.634 0.269
9 Te 0.236 0.366 0.731
10 Te 0.236 0.134 0.269


Record 2
Here is crystalline Sn2Bi2Au3 at its relaxed geometry from Alexandria via LeMat-Bulk. Energies are from PBE.

Raw total energy ... -3.752 eV per atom
Formation energy from the elements ... -0.095 eV per atom
Total magnetization ... 0.00 μB/cell

Cell lengths 4.408, 7.630, 7.314 Å; angles 125.24, 107.54, 90.00 degrees
Fractional positions:
1 Sn 0.635 0.790 0.271
2 Sn 0.365 0.210 0.729
3 Bi 0.883 0.735 0.766
4 Bi 0.117 0.265 0.234
5 Au 0.000 0.500 0.000
6 Au 0.262 0.762 0.524
7 Au 0.738 0.238 0.476


Record 3
Here is crystalline La2InCo at its relaxed geometry from Alexandria via LeMat-Bulk. Energies are from PBE.

Raw total energy ... -5.219 eV per atom
Formation energy from the elements ... -0.295 eV per atom
Total magnetization ... 0.00 μB/cell

Cell lengths 3.902, 7.184, 8.034 Å; angles 90.00, 104.05, 90.00 degrees
Fractional positions:
1 La 0.648 0.002 0.295
2 La 0.352 0.502 0.705
3 La 0.648 0.498 0.295
4 La 0.352 0.998 0.705
5 In 0.004 0.750 0.008
6 In 0.996 0.250 0.992
7 Co 0.178 0.750 0.357
8 Co 0.822 0.250 0.643


Record 4
Here is crystalline Y2Tm8Cd at its relaxed geometry from Alexandria via LeMat-Bulk. Energies are from PBE.

Raw total energy ... -4.313 eV per atom
Formation energy from the elements ... 0.198 eV per atom
Total magnetization ... 0.00 μB/cell

Cell lengths 6.336, 8.468, 8.468 Å; angles 52.90, 74.18, 74.18 degrees
Fractional positions:
1 Y 0.478 0.882 0.882
2 Y 0.522 0.118 0.118
3 Tm 0.226 0.361 0.764
4 Tm 0.774 0.236 0.639
5 Tm 0.082 0.777 0.777
6 Tm 0.918 0.223 0.223
7 Tm 0.226 0.764 0.361
8 Tm 0.774 0.639 0.236
9 Tm 0.695 0.647 0.647
10 Tm 0.305 0.353 0.353
11 Cd 0.000 0.000 0.000


What is the total magnetization in the third record? 0.00 μB/cell